Ho4TiZn5 after structural relaxation, computed with PBE-GGA.

Values from the calculation:
space-group type	P4/mmm, No. 123
calculated total energy	-3.53	eV per atom
V	20.93	Å³/atom
energy of formation from the pure elements	-0.276	eV/atom
total magnetization	0.030	μB per atom

Lattice parameters (Å, degrees): 3.4693 3.4693 17.3930 90.00 90.00 90.00
Element x y z (fractional)
Ho  0.0000  0.0000  0.1863
Ho  0.0000  0.0000  0.3949
Ho  0.0000  0.0000  0.6051
Ho  0.0000  0.0000  0.8137
Ti  0.0000  0.0000  0.0000
Zn  0.5000  0.5000  0.0785
Zn  0.5000  0.5000  0.2904
Zn  0.5000  0.5000  0.5000
Zn  0.5000  0.5000  0.7096
Zn  0.5000  0.5000  0.9215